(1)
Below is an optimized crystal structure of CePmEuHg, with properties calculated at the PBE-GGA level.

Calculated values
* energy of formation: 0.05 eV/atom
* total magnetization: 6.2 μB per formula unit
* crystal system: cubic
* Fermi-level density of states: 11.44 states/eV/f.u.
* volume: 122.0 Å³/f.u.
* E_tot: -21.06 eV for the cell shown

Cell and atoms, written as POSCAR:
```
CePmEuHg
1.0
-1.066 -5.136 1.867
1.303 -4.422 -3.121
4.191 -3.337 1.513
Eu Hg Ce Pm
1 1 1 1
direct
0.000 0.000 0.000
0.250 0.250 0.250
0.500 0.500 0.500
0.750 0.750 0.750
```

---

(2)
Below is an optimized crystal structure of CePrEuHg, with properties calculated at the PBE-GGA level.

Calculated values
* energy of formation: 0.00 eV/atom
* total magnetization: 10.0 μB per formula unit
* crystal system: cubic
* Fermi-level density of states: 7.63 states/eV/f.u.
* volume: 120.0 Å³/f.u.
* E_tot: -21.27 eV for the cell shown

Cell and atoms, written as POSCAR:
```
CePrEuHg
1.0
5.536 0.000 0.000
2.768 4.794 0.000
2.768 1.598 4.520
Eu Pr Hg Ce
1 1 1 1
direct
0.750 0.750 0.750
0.250 0.250 0.250
0.000 0.000 0.000
0.500 0.500 0.500
```

---

(3)
Below is an optimized crystal structure of CeEuHgPt, with properties calculated at the PBE-GGA level.

Calculated values
* energy of formation: -0.64 eV/atom
* total magnetization: 7.9 μB per formula unit
* crystal system: cubic
* Fermi-level density of states: 9.69 states/eV/f.u.
* volume: 101.9 Å³/f.u.
* E_tot: -25.10 eV for the cell shown

Cell and atoms, written as POSCAR:
```
CeEuHgPt
1.0
-4.720 -2.225 -0.511
-0.642 -5.078 1.139
-2.710 -1.409 4.262
Eu Ce Hg Pt
1 1 1 1
direct
0.000 0.000 0.000
0.500 0.500 0.500
0.750 0.750 0.750
0.250 0.250 0.250
```

---

(4)
Below is an optimized crystal structure of CeEuHgRu, with properties calculated at the PBE-GGA level.

Calculated values
* energy of formation: -0.13 eV/atom
* total magnetization: 7.4 μB per formula unit
* crystal system: cubic
* Fermi-level density of states: 7.57 states/eV/f.u.
* volume: 96.8 Å³/f.u.
* E_tot: -26.29 eV for the cell shown

Cell and atoms, written as POSCAR:
```
CeEuHgRu
1.0
-0.213 -2.137 4.686
-1.510 -4.900 0.532
3.417 -3.619 1.340
Eu Ru Hg Ce
1 1 1 1
direct
0.500 0.500 0.500
0.750 0.750 0.750
0.250 0.250 0.250
0.000 0.000 0.000
```

---

The highest Fermi-level density of states belongs to which entry?
CePmEuHg